# 1
Below is a relaxed structure of Rb2Ca2Pb, with properties calculated at the PBE level.

Cell and atoms, written as POSCAR:
```
Rb2Ca2Pb
1.0
4.892 0.000 0.000
0.000 4.892 0.000
2.446 2.446 11.468
Rb Pb Ca
2 1 2
Direct
0.588 0.588 0.824
0.412 0.412 0.176
0.000 0.000 0.000
0.250 0.750 0.500
0.750 0.250 0.500
```

Calculated values
Energy of formation: 0.319 eV/atom
E: -1.611 eV per atom

# 2
Below is a relaxed structure of Rb2CaPb2, with properties calculated at the PBE level.

Cell and atoms, written as POSCAR:
```
Rb2CaPb2
1.0
-1.779 5.310 -6.613
5.909 -4.071 -4.858
-4.268 -3.863 -1.954
Rb Pb Ca
4 4 2
Direct
0.825 0.325 0.500
0.325 0.175 0.500
0.675 0.825 0.500
0.175 0.675 0.500
0.879 0.621 0.000
0.121 0.379 0.000
0.621 0.121 0.000
0.379 0.879 0.000
0.000 0.000 0.000
0.500 0.500 0.000
```

Calculated values
Energy of formation: -0.068 eV/atom
E: -2.339 eV per atom

# 3
Below is a relaxed structure of RbCa2Pb6, with properties calculated at the PBE level.

Cell and atoms, written as POSCAR:
```
RbCa2Pb6
1.0
-4.192 -2.345 -0.925
2.306 -6.889 -5.916
1.700 -8.971 2.101
Pb Ca Rb
6 2 1
Direct
0.308 0.995 0.388
0.308 0.388 0.995
0.692 0.612 0.005
0.500 0.317 0.683
0.692 0.005 0.612
0.500 0.683 0.317
0.121 0.379 0.379
0.879 0.621 0.621
0.000 0.000 0.000
```

Calculated values
Energy of formation: -0.243 eV/atom
E: -3.267 eV per atom